1.
The following is a PBE calculation of a relaxed structure of La6PmSm12, from the Alexandria database.

Structure (CIF):
```
data_La6PmSm12
_chemical_formula_sum 'La18 Pm3 Sm36'
_cell_length_a 15.9858
_cell_length_b 15.9858
_cell_length_c 9.0054
_cell_angle_alpha 90.00
_cell_angle_beta 90.00
_cell_angle_gamma 120.00
_symmetry_space_group_name_H-M 'R -3'
_symmetry_Int_Tables_number 148
_symmetry_space_group_name_Hall '-R 3'
loop_
_atom_site_label
_atom_site_type_symbol
_atom_site_fract_x
_atom_site_fract_y
_atom_site_fract_z
La1 La 0.0348 0.7554 0.3341
Pm1 Pm 0.0000 0.0000 0.0000
Sm1 Sm 0.0176 0.8780 0.6680
Sm2 Sm 0.0714 0.5103 0.6664
```

Calculated values
Crystal system: trigonal
ΔE_f (eV/atom): 0.02
Energy above the lowest structure with this stoichiometry (meV/atom): 0

2.
The following is a PBE calculation of a relaxed structure of CeYTe, from the Alexandria database.

Structure (CIF):
```
data_CeYTe
_chemical_formula_sum 'Ce2 Y2 Te2'
_cell_length_a 4.265
_cell_length_b 4.263
_cell_length_c 8.986
_cell_angle_alpha 90.00
_cell_angle_beta 90.66
_cell_angle_gamma 90.00
_symmetry_space_group_name_H-M 'P 1 21/m 1'
_symmetry_Int_Tables_number 11
loop_
_symmetry_equiv_pos_as_xyz
'x,y,z'
'-x,-y,-z'
'-x,y+1/2,-z'
'x,-y+1/2,z'
loop_
_atom_site_label
_atom_site_type_symbol
_atom_site_fract_x
_atom_site_fract_y
_atom_site_fract_z
Ce1 Ce 0.225 0.250 0.001
Y1 Y 0.247 0.750 0.368
Te1 Te 0.256 0.750 0.717
```

Calculated values
Crystal system: monoclinic
Energy above the lowest structure with this stoichiometry (meV/atom): 0

3.
The following is a PBE calculation of a relaxed structure of AcErGe2Pd5, from the Alexandria database.

Structure (CIF):
```
data_AcErGe2Pd5
_chemical_formula_sum 'Ac1 Er1 Ge2 Pd5'
_cell_length_a 4.361
_cell_length_b 4.361
_cell_length_c 9.121
_cell_angle_alpha 90.00
_cell_angle_beta 90.00
_cell_angle_gamma 90.00
_symmetry_space_group_name_H-M 'P 4/m m m'
_symmetry_Int_Tables_number 123
_symmetry_space_group_name_Hall '-P 4 2'
loop_
_atom_site_label
_atom_site_type_symbol
_atom_site_fract_x
_atom_site_fract_y
_atom_site_fract_z
Ac1 Ac 0.000 0.000 0.000
Er1 Er 0.000 0.000 0.500
Ge1 Ge 0.500 0.500 0.367
Pd1 Pd 0.000 0.500 0.238
Pd2 Pd 0.500 0.500 0.000
```

Calculated values
Crystal system: tetragonal
ΔE_f (eV/atom): -0.76

4.
The following is a PBE calculation of a relaxed structure of PmEuTlCu, from the Alexandria database.

Structure (CIF):
```
data_PmEuTlCu
_chemical_formula_sum 'Pm4 Eu4 Tl4 Cu4'
_cell_length_a 7.575
_cell_length_b 7.575
_cell_length_c 7.575
_cell_angle_alpha 90.00
_cell_angle_beta 90.00
_cell_angle_gamma 90.00
_symmetry_space_group_name_H-M 'F -4 3 m'
_symmetry_Int_Tables_number 216
_symmetry_space_group_name_Hall 'F -4 2 3'
loop_
_atom_site_label
_atom_site_type_symbol
_atom_site_fract_x
_atom_site_fract_y
_atom_site_fract_z
Pm1 Pm 0.000 0.000 0.000
Eu1 Eu 0.000 0.000 0.500
Tl1 Tl 0.250 0.250 0.250
Cu1 Cu 0.250 0.250 0.750
```

Calculated values
Crystal system: cubic
ΔE_f (eV/atom): -0.20

Number 1: magnetic moment 0.00 μB/cell. Number 2: magnetic moment 0.84 μB/cell. Number 3: magnetic moment 0.00 μB/cell. Number 4: magnetic moment 27.82 μB/cell.